No. 1
The following is a PBE-GGA calculation of KCd2Ir after structural relaxation, from the Alexandria database.

For the formation energy, the calculation gives 0.22 eV/atom. The space-group type is Pm. For the energy above the lowest structure with this stoichiometry, the calculation gives 48 meV per atom.

Cell lengths 3.0968, 4.5003, 7.8406 Å; angles 90.00, 90.22, 90.00 degrees
Atoms (fractional coordinates):
1 K 0.0000 0.0000 0.0000
2 Cd 0.4984 0.0000 0.3858
3 Cd 0.5009 0.5000 0.6633
4 Ir 0.9980 0.5000 0.3687

No. 2
The following is a PBE-GGA calculation of AlCu2Se after structural relaxation, from the Alexandria database.

The uncorrected formation energy is 0.9 eV per formula unit. The space-group type is I-42d.

Cell lengths 6.0096, 6.0096, 9.1257 Å; angles 90.00, 90.00, 90.00 degrees
Atoms (fractional coordinates):
1 Al 0.0000 0.0000 0.0000
2 Al 0.0000 0.5000 0.2500
3 Al 0.5000 0.0000 0.7500
4 Al 0.5000 0.5000 0.5000
5 Cu 0.2328 0.2500 0.6250
6 Cu 0.2500 0.7328 0.8750
7 Cu 0.2500 0.7672 0.3750
8 Cu 0.2672 0.2500 0.1250
9 Cu 0.7328 0.7500 0.1250
10 Cu 0.7500 0.2328 0.3750
11 Cu 0.7500 0.2672 0.8750
12 Cu 0.7672 0.7500 0.6250
13 Se 0.0000 0.0000 0.5000
14 Se 0.0000 0.5000 0.7500
15 Se 0.5000 0.0000 0.2500
16 Se 0.5000 0.5000 0.0000

No. 3
The following is a PBE-GGA calculation of Cd3Pd12W after structural relaxation, from the Alexandria database.

For the formation energy, the calculation gives -0.22 eV/atom. The space-group type is P4/mmm.

Cell lengths 3.9810, 3.9810, 16.2421 Å; angles 90.00, 90.00, 90.00 degrees
Atoms (fractional coordinates):
1 Cd 0.0000 0.0000 0.0000
2 Cd 0.0000 0.0000 0.2517
3 Cd 0.0000 0.0000 0.7483
4 Pd 0.0000 0.5000 0.1269
5 Pd 0.0000 0.5000 0.3850
6 Pd 0.0000 0.5000 0.6150
7 Pd 0.0000 0.5000 0.8731
8 Pd 0.5000 0.0000 0.1269
9 Pd 0.5000 0.0000 0.3850
10 Pd 0.5000 0.0000 0.6150
11 Pd 0.5000 0.0000 0.8731
12 Pd 0.5000 0.5000 0.0000
13 Pd 0.5000 0.5000 0.2567
14 Pd 0.5000 0.5000 0.5000
15 Pd 0.5000 0.5000 0.7433
16 W 0.0000 0.0000 0.5000

No. 4
The following is a PBE-GGA calculation of Er2NpUP4 after structural relaxation, from the Alexandria database.

For the formation energy, the calculation gives -1.27 eV/atom. The space-group type is P2/m.

Cell lengths 6.8197, 3.9430, 6.8855 Å; angles 90.00, 109.31, 90.00 degrees
Atoms (fractional coordinates):
1 Er 0.0000 0.0000 0.0000
2 Er 0.5000 0.5000 0.0000
3 Np 0.0000 0.5000 0.5000
4 U 0.5000 0.0000 0.5000
5 P 0.2502 0.0000 0.7470
6 P 0.2522 0.5000 0.2525
7 P 0.7478 0.5000 0.7475
8 P 0.7498 0.0000 0.2530

No. 5
The following is a PBE-GGA calculation of Rb4U3HgTe8 after structural relaxation, from the Alexandria database.

The uncorrected formation energy is -12.2 eV per formula unit. The space-group type is R-3m.

Cell lengths 9.9659, 9.9659, 9.9659 Å; angles 55.50, 55.50, 55.50 degrees
Atoms (fractional coordinates):
1 Rb 0.0000 0.0000 0.0000
2 Rb 0.0000 0.5000 0.5000
3 Rb 0.5000 0.0000 0.5000
4 Rb 0.5000 0.5000 0.0000
5 U 0.0000 0.0000 0.5000
6 U 0.0000 0.5000 0.0000
7 U 0.5000 0.0000 0.0000
8 Hg 0.5000 0.5000 0.5000
9 Te 0.2181 0.7385 0.7385
10 Te 0.2335 0.2335 0.2335
11 Te 0.2615 0.2615 0.7819
12 Te 0.2615 0.7819 0.2615
13 Te 0.7385 0.2181 0.7385
14 Te 0.7385 0.7385 0.2181
15 Te 0.7665 0.7665 0.7665
16 Te 0.7819 0.2615 0.2615

No. 6
The following is a PBE-GGA calculation of Li2LaRh2 after structural relaxation, from the Alexandria database.

For the formation energy, the calculation gives -0.24 eV/atom. The space-group type is P4/mbm. For the energy above the lowest structure with this stoichiometry, the calculation gives 30 meV per atom.

Cell lengths 7.1568, 7.1568, 3.2949 Å; angles 90.00, 90.00, 90.00 degrees
Atoms (fractional coordinates):
1 Li 0.1379 0.3621 0.0000
2 Li 0.3621 0.8621 0.0000
3 Li 0.6379 0.1379 0.0000
4 Li 0.8621 0.6379 0.0000
5 La 0.0000 0.0000 0.5000
6 La 0.5000 0.5000 0.5000
7 Rh 0.1483 0.6483 0.5000
8 Rh 0.3517 0.1483 0.5000
9 Rh 0.6483 0.8517 0.5000
10 Rh 0.8517 0.3517 0.5000

No. 7
The following is a PBE-GGA calculation of HfScNO2 after structural relaxation, from the Alexandria database.

The uncorrected formation energy is -10.3 eV per formula unit. The space-group type is P4/mmm.

Cell lengths 3.9840, 3.9840, 4.2859 Å; angles 90.00, 90.00, 90.00 degrees
Atoms (fractional coordinates):
1 Hf 0.0000 0.0000 0.0000
2 Sc 0.5000 0.5000 0.5000
3 N 0.0000 0.0000 0.5000
4 O 0.0000 0.5000 0.0000
5 O 0.5000 0.0000 0.0000

No. 8
The following is a PBE-GGA calculation of Cu2ReSb after structural relaxation, from the Alexandria database.

The uncorrected formation energy is 2.0 eV per formula unit. The space-group type is Immm.

Cell lengths 3.0696, 4.4002, 9.1683 Å; angles 90.00, 90.00, 90.00 degrees
Atoms (fractional coordinates):
1 Cu 0.0000 0.0000 0.2468
2 Cu 0.0000 0.0000 0.7532
3 Cu 0.5000 0.5000 0.2532
4 Cu 0.5000 0.5000 0.7468
5 Re 0.0000 0.5000 0.5000
6 Re 0.5000 0.0000 0.0000
7 Sb 0.0000 0.5000 0.0000
8 Sb 0.5000 0.0000 0.5000